A plane-wave DFT calculation with PBE was carried out for a geometry-optimized NiAg2As structure.

Geometry as POSCAR:
```
NiAg2As
1.0
3.005 0.000 0.000
0.000 4.112 0.000
-1.483 0.000 5.296
Ni Ag As
1 2 1
Direct
0.000 0.000 0.000 Ni
0.262 0.000 0.527 Ag
0.622 0.500 0.248 Ag
0.899 0.500 0.796 As
```

Summary:
calculated total energy = -3.9242 eV/atom
crystal system = monoclinic
energy of formation from the pure elements = 109 meV/atom
symmetry = Pm, No. 6

A plane-wave DFT calculation with PBE was carried out for a geometry-optimized CaGe2PdO6 structure.

Geometry as POSCAR:
```
CaGe2PdO6
1.0
5.419 -4.830 0.000
5.419 4.830 0.000
-2.049 0.000 5.425
Ca Ge Pd O
2 4 2 12
Direct
0.105 0.895 0.750 Ca
0.895 0.105 0.250 Ca
0.213 0.380 0.799 Ge
0.380 0.213 0.299 Ge
0.620 0.787 0.701 Ge
0.787 0.620 0.201 Ge
0.266 0.734 0.250 Pd
0.734 0.266 0.750 Pd
0.039 0.209 0.666 O
0.133 0.621 0.893 O
0.209 0.039 0.166 O
0.342 0.381 0.572 O
0.379 0.867 0.607 O
0.381 0.342 0.072 O
0.619 0.658 0.928 O
0.621 0.133 0.393 O
0.658 0.619 0.428 O
0.791 0.961 0.834 O
0.867 0.379 0.107 O
0.961 0.791 0.334 O
```

Summary:
calculated total energy = -6.2329 eV/atom
energy relative to the elements, uncorrected = -1.615 eV/atom
crystal system = monoclinic
symmetry = C2/c, No. 15